VASP calculation (PBE) on an optimized crystal structure of YZnCu3.

Lattice parameters (Å, degrees): 4.5123 4.5123 4.5123 90.00 90.00 90.00
Last column: nearest neighbours and their distance in Å.
Element x y z (fractional)
Y (0.5000, 0.5000, 0.5000)  12 Cu 3.19
Zn (0.0000, 0.0000, 0.0000)  6 Cu 2.26
Cu (0.0000, 0.5000, 0.0000)  2 Zn 2.26
Cu (0.0000, 0.0000, 0.5000)  2 Zn 2.26
Cu (0.5000, 0.0000, 0.0000)  2 Zn 2.26

Its crystal system is cubic. The value obtained for the calculated formation energy is 0.157 eV/atom. The excess energy over the best structure of this formula in the dataset comes out at 323 meV/atom. For the density, the calculation gives 6.2 g cm⁻³. For the density of states at the Fermi level, the calculation gives 3.1 states/eV/f.u. The total moment is 0.00 μB/cell.

***

VASP calculation (PBE) on an optimized crystal structure of Y2Zn3Cu2.

Lattice parameters (Å, degrees): 4.2605 5.3098 6.6980 110.75 90.00 113.65
Last column: nearest neighbours and their distance in Å.
Element x y z (fractional)
Y (0.8544, 0.7088, 0.2268)  4 Cu 2.84-2.98, 3 Zn 3.07-3.10
Y (0.1456, 0.2912, 0.7732)  4 Cu 2.84-2.98, 3 Zn 3.07-3.10
Zn (0.5000, 0.0000, 0.0000)  4 Cu 2.65, 2 Zn 2.66
Zn (0.6178, 0.2356, 0.4303)  3 Cu 2.59-2.63, 2 Zn 2.66-2.79
Zn (0.3822, 0.7644, 0.5697)  3 Cu 2.59-2.63, 2 Zn 2.66-2.79
Cu (0.8563, 0.7127, 0.7833)  5 Zn 2.59-2.65, 1 Y 2.84
Cu (0.1437, 0.2873, 0.2167)  5 Zn 2.59-2.65, 1 Y 2.84

Its crystal system is monoclinic. The value obtained for the calculated formation energy is -0.317 eV/atom. For the density, the calculation gives 6.5 g cm⁻³. For the density of states at the Fermi level, the calculation gives 4.9 states/eV/f.u. The total moment is 0.00 μB/cell.